# 1
{"formula": "PaSb2RuO8", "functional": "PBE-GGA", "state": "optimized geometry", "lattice": [[5.0013, 0.0000, 0.0000], [0.0000, 6.5307, 0.0000], [-0.0032, 0.0000, 5.0067]], "species": ["Pa", "Sb", "Sb", "Ru", "O", "O", "O", "O", "O", "O", "O", "O"], "frac_coords": [[0.0000, 0.0000, 0.0000], [0.5000, 0.2616, 0.5000], [0.5000, 0.7384, 0.5000], [0.0000, 0.5000, 0.0000], [0.1977, 0.2536, 0.8043], [0.1977, 0.7464, 0.8043], [0.2918, 0.5000, 0.2938], [0.3190, 0.0000, 0.3211], [0.6810, 0.0000, 0.6789], [0.7082, 0.5000, 0.7062], [0.8023, 0.2536, 0.1957], [0.8023, 0.7464, 0.1957]], "spacegroup": "P2/m", "raw_formation_energy_mev_per_atom": -1764, "m_tot_mub_per_fu": 0.64}

=====

# 2
{"formula": "Cs3NaI", "functional": "PBE-GGA", "state": "optimized geometry", "lattice": [[7.5409, 0.0000, 0.0000], [0.0000, 7.5409, 0.0000], [0.0000, 0.0000, 7.5409]], "species": ["Cs", "Cs", "Cs", "Na", "I"], "frac_coords": [[0.0000, 0.0000, 0.5000], [0.0000, 0.5000, 0.0000], [0.5000, 0.0000, 0.0000], [0.5000, 0.5000, 0.5000], [0.0000, 0.0000, 0.0000]], "spacegroup": "Pm-3m", "raw_formation_energy_mev_per_atom": -546, "m_tot_mub_per_fu": 0.00, "polymorph_energy_ev_per_atom": 0.0000}

=====

# 3
{"formula": "Sm4ScSb5", "functional": "PBE-GGA", "state": "optimized geometry", "lattice": [[-2.2130, 2.2130, 15.5735], [2.2130, -2.2130, 15.5735], [2.2130, 2.2130, -15.5735]], "species": ["Sm", "Sm", "Sm", "Sm", "Sc", "Sb", "Sb", "Sb", "Sb", "Sb"], "frac_coords": [[0.0990, 0.0990, 0.0000], [0.3018, 0.3018, 0.0000], [0.6982, 0.6982, 0.0000], [0.9010, 0.9010, 0.0000], [0.5000, 0.5000, 0.0000], [0.0000, 0.0000, 0.0000], [0.2001, 0.2001, 0.0000], [0.4042, 0.4042, 0.0000], [0.5958, 0.5958, 0.0000], [0.7999, 0.7999, 0.0000]], "spacegroup": "I4/mmm", "raw_formation_energy_mev_per_atom": -1104, "m_tot_mub_per_fu": 0.00, "polymorph_energy_ev_per_atom": 0.0027}

=====

- Number 3 is which compound?
  Sm4ScSb5